A plane-wave DFT calculation with GGA-PBE was carried out for a relaxed structure of Pr4Dy4Er3.

It has space group Immm (No. 71), with a = 3.623 Å, b = 9.464 Å, c = 21.750 Å, α = 90.00°, β = 90.00° and γ = 90.00°. The inequivalent atoms are Pr at (0.000, 0.178, 0.144), Dy at (0.000, 0.317, 0.000), Dy at (0.000, 0.500, 0.238), Er at (0.000, 0.000, 0.394) and Er at (0.000, 0.500, 0.500).

The total energy comes out at -4.5346 eV per atom. As for the energy above the most stable polymorph in this dataset: 56 meV/atom. The energy of formation from the pure elements is 1.334 eV per formula unit. Its total moment is 0.0 μB per cell.